Material: Cs2Sn3HgPb4
Method: DFT, PBE-GGA
State: optimized geometry

Space-group type   P-4m2 (115)
Energy   -30.08 eV for the cell shown
Total magnetic moment   0.000 μB per formula unit
ΔE_f   -0.123 eV/atom

```
Cs2Sn3HgPb4
1.0
5.325 0.000 0.000
0.000 5.325 0.000
0.000 0.000 13.241
Pb Hg Sn Cs
4 1 3 2
Cartesian
0.000 2.663 4.966
2.663 0.000 8.275
0.000 0.000 0.000
2.663 2.663 0.000
2.663 2.663 6.621
0.000 2.663 1.712
0.000 0.000 6.621
2.663 0.000 11.529
0.000 2.663 9.893
2.663 0.000 3.348
```


Material: CsSrHgPb2
Method: DFT, PBE-GGA
State: optimized geometry

Space-group type   P4/mmm (123)
Energy   -7.32 eV for the cell shown
Total magnetic moment   0.000 μB per formula unit
ΔE_f   0.586 eV/atom

```
CsSrHgPb2
1.0
-2.970 -0.626 5.595
-4.801 -2.799 -2.862
2.792 -5.658 0.849
Pb Sr Cs Hg
2 1 1 1
Cartesian
-1.485 -0.313 2.798
1.396 -2.829 0.425
-2.490 -4.541 1.792
0.000 0.000 0.000
-2.401 -1.399 -1.431
```